No. 1
TlV2Ir (PBE, relaxed); E_form = 2.040 eV per formula unit; space group = I-42d (122); offset from the most stable computed form = 168 meV/atom; magnetization = 0.00 Bohr magnetons per cell
1.0
7.2484 0.0000 0.0000
0.0000 7.2484 0.0000
3.6242 3.6242 2.7480
Ir Tl V
2 2 4
Direct
0.5000 0.5000 0.0000
0.2500 0.7500 0.5000
0.0000 0.0000 0.0000
0.7500 0.2500 0.5000
0.8750 0.8236 0.7500
0.3750 0.4264 0.7500
0.5736 0.1250 0.2500
0.1764 0.6250 0.2500

---

No. 2
Tl2VIr (PBE, relaxed); E_form = 3.240 eV per formula unit; space group = I-42d (122); offset from the most stable computed form = 314 meV/atom; magnetization = 5.03 Bohr magnetons per cell
1.0
7.7889 0.0000 0.0000
0.0000 7.7889 0.0000
3.8945 3.8945 2.8356
Ir Tl V
2 4 2
Direct
0.7500 0.2500 0.5000
0.0000 0.0000 0.0000
0.1073 0.6250 0.2500
0.8750 0.8927 0.7500
0.6427 0.1250 0.2500
0.3750 0.3573 0.7500
0.5000 0.5000 0.0000
0.2500 0.7500 0.5000

---

No. 3
Tl3VIr (PBE, relaxed); E_form = 6.990 eV per formula unit; space group = Pm-3m (221); offset from the most stable computed form = 594 meV/atom; magnetization = 5.36 Bohr magnetons per cell
1.0
5.2758 0.0000 0.0000
0.0000 5.2758 0.0000
0.0000 0.0000 5.2758
Ir Tl V
1 3 1
Direct
0.5000 0.5000 0.5000
0.0000 0.0000 0.5000
0.0000 0.5000 0.0000
0.5000 0.0000 0.0000
0.0000 0.0000 0.0000

---

No. 4
Tl2VIr (PBE, relaxed); E_form = 1.983 eV per formula unit; space group = Fm-3m (225); offset from the most stable computed form = 0 meV/atom; magnetization = 2.71 Bohr magnetons per cell
1.0
-0.8941 -4.4728 1.2957
-4.4354 -1.6700 -0.1489
-1.2138 -3.2167 -3.2655
V Tl Ir
1 2 1
Direct
0.0000 0.0000 0.0000
0.2500 0.2500 0.2500
0.7500 0.7500 0.7500
0.5000 0.5000 0.5000

---

No. 5
TlVIr3 (PBE, relaxed); E_form = 5.415 eV per formula unit; space group = Pm-3m (221); offset from the most stable computed form = 0 meV/atom; magnetization = 0.00 Bohr magnetons per cell
1.0
4.6008 0.0000 0.0000
0.0000 4.6008 0.0000
0.0000 0.0000 4.6008
Ir Tl V
3 1 1
Direct
0.0000 0.0000 0.5000
0.5000 0.0000 0.0000
0.0000 0.5000 0.0000
0.5000 0.5000 0.5000
0.0000 0.0000 0.0000

---

No. 6
TlV2Ir (PBE, relaxed); E_form = 1.366 eV per formula unit; space group = Fm-3m (225); offset from the most stable computed form = 0 meV/atom; magnetization = 3.68 Bohr magnetons per cell
1.0
0.0000 3.1994 3.1994
3.1994 0.0000 3.1994
3.1994 3.1994 0.0000
Tl V Ir
1 2 1
Direct
0.5000 0.5000 0.5000
0.2500 0.2500 0.2500
0.7500 0.7500 0.7500
0.0000 0.0000 0.0000

---

| no. | raw total energy (Ha/atom) |
| --- | --- |
| 1 | -0.25196 |
| 2 | -0.17890 |
| 3 | -0.13294 |
| 4 | -0.19044 |
| 5 | -0.23999 |
| 6 | -0.25815 |